Rb2PdI after structural relaxation. Source: the Alexandria database, functional PBE-GGA.

Summary:
Total magnetic moment: 0.0 μB per formula unit
Relative energy among the computed polymorphs: 0.025 eV/atom
Crystal system: tetragonal

Cell: 9.601 9.601 7.574 Å, 50.67 50.67 90.00°
Fractional positions:
Rb1 0.578 0.125 0.250
Rb2 0.375 0.422 0.750
Rb3 0.875 0.828 0.750
Rb4 0.172 0.625 0.250
I1 0.750 0.250 0.500
I2 0.000 0.000 0.000
Pd1 0.250 0.750 0.500
Pd2 0.500 0.500 0.000